1.
{
  "formula": "U3Cr5H12",
  "functional": "PBE-GGA",
  "state": "optimized geometry",
  "total_magnetization_mub_per_fu": 0.82,
  "dft_energy_ev_per_atom": -6.072,
  "space_group": "Ia-3d (230)",
  "dos_at_fermi_per_ev_cell": 64.073,
  "lattice": [[-4.552, 0.273, -8.544], [-1.455, -8.625, 4.160], [-3.484, 6.981, 5.739]],
  "species": ["Cr", "Cr", "Cr", "Cr", "Cr", "Cr", "Cr", "Cr", "Cr", "Cr", "Cr", "Cr", "Cr", "Cr", "Cr", "Cr", "Cr", "Cr", "Cr", "Cr", "U", "U", "U", "U", "U", "U", "U", "U", "U", "U", "U", "U", "H", "H", "H", "H", "H", "H", "H", "H", "H", "H", "H", "H", "H", "H", "H", "H", "H", "H", "H", "H", "H", "H", "H", "H", "H", "H", "H", "H", "H", "H", "H", "H", "H", "H", "H", "H", "H", "H", "H", "H", "H", "H", "H", "H", "H", "H", "H", "H"],
  "frac_coords": [[0.125, 0.375, 0.250], [0.000, 0.500, 0.000], [0.000, 0.000, 0.000], [0.375, 0.250, 0.125], [0.500, 0.000, 0.500], [0.500, 0.500, 0.000], [0.125, 0.750, 0.375], [0.750, 0.125, 0.875], [0.750, 0.625, 0.375], [0.375, 0.125, 0.750], [0.625, 0.875, 0.250], [0.500, 0.500, 0.500], [0.500, 0.000, 0.000], [0.000, 0.000, 0.500], [0.250, 0.375, 0.625], [0.250, 0.875, 0.125], [0.000, 0.500, 0.500], [0.875, 0.250, 0.625], [0.625, 0.750, 0.875], [0.875, 0.625, 0.750], [0.750, 0.375, 0.125], [0.875, 0.750, 0.125], [0.375, 0.750, 0.625], [0.250, 0.125, 0.375], [0.875, 0.125, 0.250], [0.375, 0.625, 0.250], [0.625, 0.375, 0.750], [0.125, 0.875, 0.750], [0.750, 0.875, 0.625], [0.625, 0.250, 0.375], [0.125, 0.250, 0.875], [0.250, 0.625, 0.875], [0.697, 0.108, 0.025], [0.327, 0.525, 0.417], [0.975, 0.392, 0.303], [0.525, 0.197, 0.108], [0.590, 0.697, 0.673], [0.975, 0.583, 0.173], [0.327, 0.803, 0.410], [0.083, 0.910, 0.108], [0.583, 0.975, 0.673], [0.697, 0.590, 0.173], [0.803, 0.475, 0.392], [0.827, 0.917, 0.025], [0.108, 0.697, 0.525], [0.392, 0.417, 0.090], [0.090, 0.917, 0.392], [0.410, 0.108, 0.583], [0.090, 0.173, 0.197], [0.475, 0.673, 0.083], [0.827, 0.910, 0.303], [0.108, 0.410, 0.083], [0.392, 0.975, 0.803], [0.583, 0.608, 0.410], [0.917, 0.827, 0.525], [0.803, 0.327, 0.910], [0.417, 0.392, 0.590], [0.083, 0.173, 0.475], [0.197, 0.673, 0.090], [0.173, 0.090, 0.697], [0.608, 0.025, 0.197], [0.892, 0.590, 0.917], [0.525, 0.327, 0.917], [0.590, 0.892, 0.417], [0.910, 0.827, 0.803], [0.910, 0.083, 0.608], [0.892, 0.303, 0.475], [0.173, 0.083, 0.975], [0.608, 0.583, 0.910], [0.417, 0.025, 0.327], [0.303, 0.410, 0.827], [0.197, 0.525, 0.608], [0.917, 0.090, 0.892], [0.673, 0.197, 0.590], [0.475, 0.803, 0.892], [0.025, 0.417, 0.827], [0.410, 0.303, 0.327], [0.025, 0.608, 0.697], [0.673, 0.475, 0.583], [0.303, 0.892, 0.975]]
}

***

2.
{
  "formula": "CdSbW",
  "functional": "PBE-GGA",
  "state": "optimized geometry",
  "total_magnetization_mub_per_fu": 0.00,
  "dft_energy_ev_per_atom": -5.415,
  "space_group": "I4mm (107)",
  "dos_at_fermi_per_ev_cell": 2.027,
  "formation_energy_uncorrected_ev_per_fu": 1.75,
  "de_polymorph_ev_per_fu": 0.00,
  "lattice": [[-3.403, -3.747, 2.317], [1.267, -3.830, 3.836], [0.517, 5.389, -1.297]],
  "species": ["Sb", "W", "Cd"],
  "frac_coords": [[0.314, 0.314, 0.000], [0.681, 0.681, 0.000], [0.005, 0.005, 0.000]]
}

***

3.
{
  "formula": "ZrTaMo2",
  "functional": "PBE-GGA",
  "state": "optimized geometry",
  "total_magnetization_mub_per_fu": 0.00,
  "dft_energy_ev_per_atom": -10.478,
  "space_group": "Cmm2 (35)",
  "dos_at_fermi_per_ev_cell": 3.816,
  "de_polymorph_ev_per_fu": 0.45,
  "lattice": [[2.874, 0.003, 0.000], [-1.042, 2.679, 0.000], [0.000, 0.000, 9.268]],
  "species": ["Mo", "Mo", "Ta", "Zr"],
  "frac_coords": [[0.000, 0.000, 0.017], [0.500, 0.500, 0.243], [0.000, 0.000, 0.481], [0.500, 0.500, 0.760]]
}